(1)
# NaTa2Fe GGA-PBE relaxed
data_NaTa2Fe
_symmetry_space_group_name_H-M 'P 1'
_symmetry_Int_Tables_number 1
_cell_length_a 4.480
_cell_length_b 4.480
_cell_length_c 4.480
_cell_angle_alpha 60.00
_cell_angle_beta 60.00
_cell_angle_gamma 60.00
loop_
_symmetry_equiv_pos_as_xyz
'x,y,z'
loop_
_atom_site_label
_atom_site_type_symbol
_atom_site_fract_x
_atom_site_fract_y
_atom_site_fract_z
_atom_site_occupancy
Na1 Na 0.000 0.000 0.000 1
Fe1 Fe 0.500 0.500 0.500 1
Ta1 Ta 0.250 0.250 0.250 1
Ta2 Ta 0.750 0.750 0.750 1
# Offset from the most stable computed form   0.0000 eV/atom
# Magnetization   0.01 μB/f.u.
# E_form   3.187 eV/f.u.
# DOS at the Fermi energy   5.3 states/eV/cell

***

(2)
# MgTi2In2Pt5 GGA-PBE relaxed
data_MgTi2In2Pt5
_symmetry_space_group_name_H-M 'P 1'
_symmetry_Int_Tables_number 1
_cell_length_a 4.088
_cell_length_b 9.349
_cell_length_c 9.349
_cell_angle_alpha 90.00
_cell_angle_beta 90.00
_cell_angle_gamma 90.00
loop_
_symmetry_equiv_pos_as_xyz
'x,y,z'
loop_
_atom_site_label
_atom_site_type_symbol
_atom_site_fract_x
_atom_site_fract_y
_atom_site_fract_z
_atom_site_occupancy
Mg1 Mg 0.000 0.000 0.000 1
Mg2 Mg 0.000 0.500 0.500 1
Ti1 Ti 0.000 0.120 0.620 1
Ti2 Ti 0.000 0.880 0.380 1
Ti3 Ti 0.000 0.620 0.880 1
Ti4 Ti 0.000 0.380 0.120 1
In1 In 0.000 0.676 0.176 1
In2 In 0.000 0.324 0.824 1
In3 In 0.000 0.176 0.324 1
In4 In 0.000 0.824 0.676 1
Pt1 Pt 0.500 0.200 0.079 1
Pt2 Pt 0.500 0.800 0.921 1
Pt3 Pt 0.500 0.079 0.800 1
Pt4 Pt 0.500 0.700 0.421 1
Pt5 Pt 0.500 0.921 0.200 1
Pt6 Pt 0.500 0.300 0.579 1
Pt7 Pt 0.500 0.579 0.700 1
Pt8 Pt 0.500 0.421 0.300 1
Pt9 Pt 0.500 0.500 0.000 1
Pt10 Pt 0.500 0.000 0.500 1
# Magnetization   0.00 μB/f.u.
# E_form   -4.732 eV/f.u.
# DOS at the Fermi energy   14.5 states/eV/cell

***

(3)
# Tl2TeN GGA-PBE relaxed
data_Tl2TeN
_symmetry_space_group_name_H-M 'P 1'
_symmetry_Int_Tables_number 1
_cell_length_a 6.264
_cell_length_b 6.264
_cell_length_c 7.308
_cell_angle_alpha 64.62
_cell_angle_beta 64.62
_cell_angle_gamma 90.00
loop_
_symmetry_equiv_pos_as_xyz
'x,y,z'
loop_
_atom_site_label
_atom_site_type_symbol
_atom_site_fract_x
_atom_site_fract_y
_atom_site_fract_z
_atom_site_occupancy
Tl1 Tl 0.528 0.125 0.250 1
Tl2 Tl 0.222 0.625 0.250 1
Tl3 Tl 0.375 0.472 0.750 1
Tl4 Tl 0.875 0.778 0.750 1
Te1 Te 0.000 0.000 0.000 1
Te2 Te 0.750 0.250 0.500 1
N1 N 0.500 0.500 0.000 1
N2 N 0.250 0.750 0.500 1
# E_form (uncorrected)   0.488 eV per atom
# Offset from the most stable computed form   0.0000 eV/atom
# Magnetization   0.00 μB/f.u.
# DOS at the Fermi energy   4.0 states/eV/cell

***

(4)
# AlIr3 GGA-PBE relaxed
data_AlIr3
_symmetry_space_group_name_H-M 'P 1'
_symmetry_Int_Tables_number 1
_cell_length_a 2.767
_cell_length_b 2.767
_cell_length_c 7.476
_cell_angle_alpha 90.00
_cell_angle_beta 90.00
_cell_angle_gamma 90.00
loop_
_symmetry_equiv_pos_as_xyz
'x,y,z'
loop_
_atom_site_label
_atom_site_type_symbol
_atom_site_fract_x
_atom_site_fract_y
_atom_site_fract_z
_atom_site_occupancy
Ir1 Ir 0.500 0.500 0.244 1
Ir2 Ir 0.000 0.000 0.500 1
Ir3 Ir 0.500 0.500 0.756 1
Al1 Al 0.000 0.000 0.000 1
# Magnetization   0.00 μB/f.u.
# E_form   -1.366 eV/f.u.
# DOS at the Fermi energy   2.7 states/eV/cell

***

(5)
# NpTcB3 GGA-PBE relaxed
data_NpTcB3
_symmetry_space_group_name_H-M 'P 1'
_symmetry_Int_Tables_number 1
_cell_length_a 3.803
_cell_length_b 3.037
_cell_length_c 9.464
_cell_angle_alpha 90.00
_cell_angle_beta 101.59
_cell_angle_gamma 90.00
loop_
_symmetry_equiv_pos_as_xyz
'x,y,z'
loop_
_atom_site_label
_atom_site_type_symbol
_atom_site_fract_x
_atom_site_fract_y
_atom_site_fract_z
_atom_site_occupancy
Np1 Np 0.929 0.750 0.858 1
Np2 Np 0.071 0.250 0.142 1
Tc1 Tc 0.203 0.750 0.407 1
Tc2 Tc 0.797 0.250 0.593 1
B1 B 0.627 0.750 0.254 1
B2 B 0.373 0.250 0.746 1
B3 B 0.525 0.750 0.050 1
B4 B 0.475 0.250 0.950 1
B5 B 0.677 0.250 0.353 1
B6 B 0.323 0.750 0.647 1
# Magnetization   2.24 μB/f.u.
# E_form   -1.533 eV/f.u.
# DOS at the Fermi energy   8.3 states/eV/cell

***

(6)
# Lu2TiAl GGA-PBE relaxed
data_Lu2TiAl
_symmetry_space_group_name_H-M 'P 1'
_symmetry_Int_Tables_number 1
_cell_length_a 4.363
_cell_length_b 4.524
_cell_length_c 4.524
_cell_angle_alpha 90.00
_cell_angle_beta 90.00
_cell_angle_gamma 90.00
loop_
_symmetry_equiv_pos_as_xyz
'x,y,z'
loop_
_atom_site_label
_atom_site_type_symbol
_atom_site_fract_x
_atom_site_fract_y
_atom_site_fract_z
_atom_site_occupancy
Lu1 Lu 0.000 0.000 0.500 1
Lu2 Lu 0.000 0.500 0.000 1
Al1 Al 0.500 0.500 0.500 1
Ti1 Ti 0.500 0.000 0.000 1
# Offset from the most stable computed form   0.0088 eV/atom
# Magnetization   1.30 μB/f.u.
# E_form   -0.400 eV/f.u.
# DOS at the Fermi energy   5.2 states/eV/cell

***

(7)
# CuTe3 GGA-PBE relaxed
data_CuTe3
_symmetry_space_group_name_H-M 'P 1'
_symmetry_Int_Tables_number 1
_cell_length_a 5.223
_cell_length_b 5.223
_cell_length_c 5.223
_cell_angle_alpha 90.00
_cell_angle_beta 90.00
_cell_angle_gamma 90.00
loop_
_symmetry_equiv_pos_as_xyz
'x,y,z'
loop_
_atom_site_label
_atom_site_type_symbol
_atom_site_fract_x
_atom_site_fract_y
_atom_site_fract_z
_atom_site_occupancy
Cu1 Cu 0.000 0.000 0.000 1
Te1 Te 0.500 0.000 0.000 1
Te2 Te 0.000 0.500 0.000 1
Te3 Te 0.000 0.000 0.500 1
# E_form (uncorrected)   0.477 eV per atom
# Magnetization   0.00 μB/f.u.
# DOS at the Fermi energy   6.0 states/eV/cell

***

(8)
# Dy2NpP3Rh12 GGA-PBE relaxed
data_Dy2NpP3Rh12
_symmetry_space_group_name_H-M 'P 1'
_symmetry_Int_Tables_number 1
_cell_length_a 7.310
_cell_length_b 7.310
_cell_length_c 7.310
_cell_angle_alpha 68.06
_cell_angle_beta 68.06
_cell_angle_gamma 68.06
loop_
_symmetry_equiv_pos_as_xyz
'x,y,z'
loop_
_atom_site_label
_atom_site_type_symbol
_atom_site_fract_x
_atom_site_fract_y
_atom_site_fract_z
_atom_site_occupancy
Dy1 Dy 0.597 0.597 0.597 1
Dy2 Dy 0.403 0.403 0.403 1
Np1 Np 0.000 0.000 0.000 1
P1 P 0.500 0.000 0.000 1
P2 P 0.000 0.500 0.000 1
P3 P 0.000 0.000 0.500 1
Rh1 Rh 0.338 0.338 0.906 1
Rh2 Rh 0.857 0.857 0.381 1
Rh3 Rh 0.381 0.857 0.857 1
Rh4 Rh 0.906 0.338 0.338 1
Rh5 Rh 0.857 0.381 0.857 1
Rh6 Rh 0.338 0.906 0.338 1
Rh7 Rh 0.662 0.662 0.094 1
Rh8 Rh 0.143 0.143 0.619 1
Rh9 Rh 0.619 0.143 0.143 1
Rh10 Rh 0.094 0.662 0.662 1
Rh11 Rh 0.143 0.619 0.143 1
Rh12 Rh 0.662 0.094 0.662 1
# Magnetization   0.80 μB/f.u.
# E_form   -5.850 eV/f.u.
# DOS at the Fermi energy   14.8 states/eV/cell

***

| no. | electronic total energy (eV/cell) |
| --- | --- |
| 1 | -30.3 |
| 2 | -115.6 |
| 3 | -28.5 |
| 4 | -31.7 |
| 5 | -89.7 |
| 6 | -21.1 |
| 7 | -11.6 |
| 8 | -132.4 |